1.
Entry from Alexandria: a relaxed structure of CsRb2Zn (GGA-PBE).

```
CsRb2Zn
1.0
6.1384 0.0000 0.0000
0.0000 6.1384 0.0000
3.0692 3.0692 15.2573
Rb Zn Cs
4 2 2
direct
0.5965 0.1250 0.2500 Rb
0.1535 0.6250 0.2500 Rb
0.3750 0.4035 0.7500 Rb
0.8750 0.8465 0.7500 Rb
0.2500 0.7500 0.5000 Zn
0.5000 0.5000 0.0000 Zn
0.0000 0.0000 0.0000 Cs
0.7500 0.2500 0.5000 Cs
```

Values from the calculation:
DFT formation energy: 20.9 kJ/mol of atoms
Density: 2.1 g cm⁻³
D(E_F): 7.35 states/eV per cell
Magnetic moment: 0.00 μB per formula unit

2.
Entry from Alexandria: a relaxed structure of CaAg2Sb2 (GGA-PBE).

```
CaAg2Sb2
1.0
-3.9558 4.4451 5.7013
-4.8855 -6.4342 1.6268
2.3121 -1.1277 2.4834
Sb Ca Ag
4 2 4
direct
0.6829 0.8171 0.5000 Sb
0.3171 0.1829 0.5000 Sb
0.8171 0.3171 0.5000 Sb
0.1829 0.6829 0.5000 Sb
0.5000 0.5000 0.0000 Ca
0.0000 0.0000 0.0000 Ca
0.6193 0.1193 0.0000 Ag
0.3807 0.8807 0.0000 Ag
0.1193 0.3807 0.0000 Ag
0.8807 0.6193 0.0000 Ag
```

Values from the calculation:
Density: 6.8 g cm⁻³
D(E_F): 4.96 states/eV per cell
ΔE_f (raw): -238 meV per atom
Magnetic moment: 0.00 μB per formula unit

3.
Entry from Alexandria: a relaxed structure of Ce7TlIr2 (GGA-PBE).

```
Ce7TlIr2
1.0
-3.8494 3.7316 -0.0727
-4.1813 -4.2097 5.3209
4.9819 5.2055 3.4058
Ce Ir Tl
7 2 1
direct
0.5000 0.9406 0.7176 Ce
0.5000 0.2824 0.0594 Ce
0.5000 0.0594 0.2824 Ce
0.0000 0.7168 0.2832 Ce
0.5000 0.7176 0.9406 Ce
0.5000 0.5000 0.5000 Ce
0.0000 0.2832 0.7168 Ce
0.5000 0.3030 0.6970 Ir
0.5000 0.6970 0.3030 Ir
0.0000 0.0000 0.0000 Tl
```

Values from the calculation:
DFT formation energy: -14.4 kJ/mol of atoms
Density: 8.3 g cm⁻³
D(E_F): 33.67 states/eV per cell
Magnetic moment: 5.85 μB per formula unit